Tb3HoEr4 | PBE | optimized geometry

Computed properties:
Raw total energy, eV/atom: -4.392
Volume, Å³ per atom: 31.83
DOS at the Fermi energy, states/eV/f.u.: 11.08
Relative energy among the computed polymorphs, kcal/mol of atoms: 4.46
Formation energy, eV per atom: 0.1975

abc: 5.5823 3.5197 13.2590
angles: 90.02 102.15 90.00
Fractional positions:
Tb (0.0000, 0.5000, 0.0000)
Tb (0.8449, 0.9999, 0.6899)
Tb (0.1551, 0.0001, 0.3101)
Ho (0.5000, 0.0000, 0.0000)
Er (0.6035, 0.5004, 0.2070)
Er (0.3965, 0.4996, 0.7930)
Er (0.2768, 0.5005, 0.5536)
Er (0.7232, 0.4995, 0.4464)



Rb2YNbPt | PBE | optimized geometry

Computed properties:
Raw total energy, eV/atom: -3.136
Volume, Å³ per atom: 43.60
DOS at the Fermi energy, states/eV/f.u.: 6.79
Formation energy, eV per atom: 1.7659

abc: 6.5717 5.0477 6.5717
angles: 90.00 90.00 90.00
Site moments in Bohr magnetons follow the coordinates.
Fractional positions:
Y (0.0000, 0.0000, 0.0000)  0.04
Nb (0.0000, 0.5000, 0.0000)  1.18
Rb (0.0000, 0.0000, 0.5000)  0.01
Rb (0.5000, 0.0000, 0.0000)  0.01
Pt (0.5000, 0.5000, 0.5000)  -0.09



NbInCoOs | PBE | optimized geometry

Computed properties:
Raw total energy, eV/atom: -7.775
Volume, Å³ per atom: 15.86
DOS at the Fermi energy, states/eV/f.u.: 1.64
Formation energy, eV per atom: 0.0111

abc: 4.4771 4.4771 4.4771
angles: 60.00 60.00 60.00
Site moments in Bohr magnetons follow the coordinates.
Fractional positions:
Co (0.2500, 0.2500, 0.2500)  1.01
Nb (0.0000, 0.0000, 0.0000)  0.00
Os (0.7500, 0.7500, 0.7500)  0.09
In (0.5000, 0.5000, 0.5000)  -0.01